# SbCIO2, relaxed, DFT GGA-PBE
data_SbCIO2
_chemical_formula_sum 'Sb1 C1 I1 O2'
_cell_length_a 3.911
_cell_length_b 3.911
_cell_length_c 6.661
_cell_angle_alpha 90.00
_cell_angle_beta 90.00
_cell_angle_gamma 90.00
_space_group_name_H-M_alt 'P 1'
_space_group_IT_number 1
_space_group_name_Hall 'P 1'
loop_
_atom_site_label
_atom_site_fract_x
_atom_site_fract_y
_atom_site_fract_z
Sb1 0.000 0.000 0.000
C1 0.500 0.500 0.500
I1 0.000 0.000 0.500
O1 0.000 0.500 0.000
O2 0.500 0.000 0.000
# Symmetry: No. 123
# Magnetic moment: 1.31 μB per cell
# ΔE to the lowest computed polymorph: 0.000 eV/atom
# ΔE_f (raw): 326 kJ/mol of formula units
# E_tot: -0.315 Ry/atom



# SbCI2O, relaxed, DFT GGA-PBE
data_SbCI2O
_chemical_formula_sum 'Sb1 C1 I2 O1'
_cell_length_a 6.033
_cell_length_b 6.033
_cell_length_c 4.044
_cell_angle_alpha 90.00
_cell_angle_beta 90.00
_cell_angle_gamma 90.00
_space_group_name_H-M_alt 'P 1'
_space_group_IT_number 1
_space_group_name_Hall 'P 1'
loop_
_atom_site_label
_atom_site_fract_x
_atom_site_fract_y
_atom_site_fract_z
Sb1 0.000 0.000 0.000
C1 0.500 0.500 0.500
I1 0.000 0.500 0.000
I2 0.500 0.000 0.000
O1 0.000 0.000 0.500
# Symmetry: No. 123
# Magnetic moment: 1.56 μB per cell
# ΔE to the lowest computed polymorph: 0.194 eV/atom
# ΔE_f (raw): 562 kJ/mol of formula units
# E_tot: -0.229 Ry/atom



# Sb2CIO, relaxed, DFT GGA-PBE
data_Sb2CIO
_chemical_formula_sum 'Sb2 C1 I1 O1'
_cell_length_a 4.440
_cell_length_b 4.440
_cell_length_c 6.398
_cell_angle_alpha 90.00
_cell_angle_beta 90.00
_cell_angle_gamma 90.00
_space_group_name_H-M_alt 'P 1'
_space_group_IT_number 1
_space_group_name_Hall 'P 1'
loop_
_atom_site_label
_atom_site_fract_x
_atom_site_fract_y
_atom_site_fract_z
Sb1 0.000 0.500 0.000
Sb2 0.500 0.000 0.000
C1 0.000 0.000 0.500
I1 0.500 0.500 0.500
O1 0.500 0.500 0.000
# Symmetry: No. 123
# Magnetic moment: 0.61 μB per cell
# ΔE to the lowest computed polymorph: 0.041 eV/atom
# ΔE_f (raw): 663 kJ/mol of formula units
# E_tot: -0.251 Ry/atom



# SbCI2O, relaxed, DFT GGA-PBE
data_SbCI2O
_chemical_formula_sum 'Sb1 C1 I2 O1'
_cell_length_a 4.915
_cell_length_b 4.915
_cell_length_c 4.711
_cell_angle_alpha 90.00
_cell_angle_beta 90.00
_cell_angle_gamma 90.00
_space_group_name_H-M_alt 'P 1'
_space_group_IT_number 1
_space_group_name_Hall 'P 1'
loop_
_atom_site_label
_atom_site_fract_x
_atom_site_fract_y
_atom_site_fract_z
Sb1 0.000 0.000 0.000
C1 0.000 0.000 0.500
I1 0.000 0.500 0.500
I2 0.500 0.000 0.500
O1 0.500 0.500 0.000
# Symmetry: No. 123
# Magnetic moment: 0.00 μB per cell
# ΔE to the lowest computed polymorph: 0.524 eV/atom
# ΔE_f (raw): 722 kJ/mol of formula units
# E_tot: -0.205 Ry/atom